DFT (PBE-GGA) results for a relaxed structure of LaNdDy.

Summary:
DFT total energy   -4.75 eV per atom
ΔE_f   20 meV per atom
Calculated volume   34.59 Å³/atom
Fermi-level density of states   1.45 states/eV/atom
ρ   7.1 Mg/m³
Distance to the lowest polymorph of the same formula   1 meV/atom

Unit cell a=3.670 b=5.171 c=10.934 alpha=90.00 beta=90.00 gamma=90.00
Space group Imm2 (No. 44)
Asymmetric unit:
1 La 0.000 0.000 0.000 x2
2 Nd 0.000 0.000 0.668 x2
3 Dy 0.000 0.000 0.332 x2